First-principles (PBE) data for crystalline KPu4I8 at its relaxed geometry, as listed in Alexandria.

The structure in CIF format:
```
data_KPu4I8
_cell_length_a 9.0936
_cell_length_b 9.0936
_cell_length_c 9.0936
_cell_angle_alpha 60.00
_cell_angle_beta 60.00
_cell_angle_gamma 60.00
_space_group_name_H-M_alt 'P 1'
_space_group_IT_number 1
loop_
_space_group_symop_operation_xyz
'x,y,z'
loop_
_atom_site_label
_atom_site_type_symbol
_atom_site_fract_x
_atom_site_fract_y
_atom_site_fract_z
I1 I 0.1158 0.6526 0.1158
I2 I 0.1158 0.1158 0.1158
I3 I 0.1158 0.1158 0.6526
K1 K 0.7500 0.7500 0.7500
Pu1 Pu 0.3539 0.3539 0.3539
I4 I 0.6069 0.6069 0.6069
Pu2 Pu 0.9382 0.3539 0.3539
I5 I 0.6069 0.1794 0.6069
I6 I 0.6069 0.6069 0.1794
Pu3 Pu 0.3539 0.9382 0.3539
Pu4 Pu 0.3539 0.3539 0.9382
I7 I 0.6526 0.1158 0.1158
I8 I 0.1794 0.6069 0.6069
```

## Properties
The space group is F-43m, No. 216. As for the excess energy over the best structure of this formula in the dataset: 0.974 eV per atom. The uncorrected formation energy is -0.08 eV/atom. Its total energy is -5.5274 eV per atom.